This record from Alexandria via LeMat-Bulk describes a relaxed structure of La2PrHo3. The functional is PBE.

Cell lengths 17.597, 6.824, 6.949 Å; angles 90.00, 97.30, 90.00 degrees
Space group C2/c (No. 15)
Inequivalent atoms, fractional coordinates:
La 0.179 0.070 0.146 x8
Pr 0.000 0.237 0.750 x4
Ho 0.000 0.255 0.250 x4
Ho 0.144 0.450 0.526 x8


This record from Alexandria via LeMat-Bulk describes a relaxed structure of LaPrHo2. The functional is PBE.

Cell lengths 10.260, 5.123, 10.284 Å; angles 90.00, 90.00, 90.00 degrees
Space group Pnma (No. 62)
Inequivalent atoms, fractional coordinates:
La 0.125 0.250 0.245 x4
Pr 0.127 0.750 0.500 x4
Ho 0.123 0.750 0.999 x4
Ho 0.125 0.250 0.752 x4


This record from Alexandria via LeMat-Bulk describes a relaxed structure of La7Pr2Ho3. The functional is PBE.

Cell lengths 6.014, 3.673, 19.327 Å; angles 90.00, 93.83, 90.00 degrees
Space group P2/m (No. 10)
Inequivalent atoms, fractional coordinates:
La 0.000 0.000 0.000 x1
La 0.166 0.500 0.181 x2
La 0.260 0.500 0.533 x2
La 0.335 0.000 0.855 x2
Pr 0.304 0.500 0.700 x2
Ho 0.209 0.000 0.366 x2
Ho 0.500 0.500 0.000 x1


This record from Alexandria via LeMat-Bulk describes a relaxed structure of LaPrHo. The functional is PBE.

Cell lengths 3.683, 5.166, 10.933 Å; angles 90.00, 90.00, 90.00 degrees
Space group Imm2 (No. 44)
Inequivalent atoms, fractional coordinates:
La 0.000 0.000 0.000 x2
Pr 0.000 0.000 0.668 x2
Ho 0.000 0.000 0.333 x2


Number 1: distance to the lowest polymorph of the same formula 0 kJ/mol of formula units, Fermi-level density of states 1.567 states/eV/atom, V 828 Å³ per cell. Number 2: distance to the lowest polymorph of the same formula 7 kJ/mol of formula units, Fermi-level density of states 1.638 states/eV/atom, V 541 Å³ per cell. Number 3: distance to the lowest polymorph of the same formula 33 kJ/mol of formula units, Fermi-level density of states 1.726 states/eV/atom, V 426 Å³ per cell. Number 4: distance to the lowest polymorph of the same formula 0 kJ/mol of formula units, Fermi-level density of states 1.394 states/eV/atom, V 208 Å³ per cell.